Here is an optimized crystal structure of GaF3 from the Alexandria database. Energies are from GGA-PBE.

Summary:
Space-group type: R-3c, No. 167
Size of the total moment in Bohr magnetons per cell: 0.00
Theoretical density in g/cm³: 4.3
Calculated total energy in Ry/atom: -0.351

a = 5.307 Å, b = 5.307 Å, c = 5.307 Å
α = 57.24°, β = 57.24°, γ = 57.24°
Element x y z (fractional)
Ga 0.500 0.500 0.500
Ga 0.000 0.000 0.000
F 0.641 0.250 0.859
F 0.859 0.641 0.250
F 0.750 0.141 0.359
F 0.141 0.359 0.750
F 0.359 0.750 0.141
F 0.250 0.859 0.641